Entry 1:
This record from Alexandria describes Li2AcHgF8 after structural relaxation. The functional is PBE.

Unit cell a=5.757 b=5.757 c=7.333 alpha=90.00 beta=90.00 gamma=120.00
Element x y z (fractional)
1 Li 0.333 0.667 0.228
2 Li 0.667 0.333 0.772
3 Ac 0.000 0.000 0.000
4 Hg 0.000 0.000 0.500
5 F 0.154 0.309 0.272
6 F 0.154 0.846 0.272
7 F 0.309 0.154 0.728
8 F 0.333 0.667 0.976
9 F 0.667 0.333 0.024
10 F 0.691 0.846 0.272
11 F 0.846 0.154 0.728
12 F 0.846 0.691 0.728

Calculated values
Total magnetic moment = 0.092 μB/atom
Calculated volume = 17.5 Å³ per atom
ΔE_f (raw) = -2.593 eV/atom
Raw total energy = -0.3327 Ry/atom
SG = P-3m1

Entry 2:
This record from Alexandria describes Sb2AuSe after structural relaxation. The functional is PBE.

Unit cell a=3.494 b=3.494 c=9.180 alpha=90.00 beta=90.00 gamma=116.84
Element x y z (fractional)
1 Sb 0.000 0.000 0.000
2 Sb 0.500 0.500 0.322
3 Au 0.500 0.500 0.775
4 Se 0.000 0.000 0.554

Calculated values
Total magnetic moment = 0.000 μB/atom
Calculated volume = 25.0 Å³ per atom
ΔE_f (raw) = 0.218 eV/atom
Raw total energy = -0.2597 Ry/atom
SG = Cmm2

Entry 3:
This record from Alexandria describes RbWSI2 after structural relaxation. The functional is PBE.

Unit cell a=6.692 b=6.692 c=5.921 alpha=90.00 beta=90.00 gamma=90.00
Element x y z (fractional)
1 Rb 0.000 0.000 0.000
2 W 0.500 0.500 0.500
3 S 0.000 0.000 0.500
4 I 0.000 0.500 0.000
5 I 0.500 0.000 0.000

Calculated values
Total magnetic moment = 0.600 μB/atom
Calculated volume = 53.0 Å³ per atom
ΔE_f (raw) = 1.641 eV/atom
Raw total energy = -0.1902 Ry/atom
SG = P4/mmm

Entry 4:
This record from Alexandria describes CsLiTe2 after structural relaxation. The functional is PBE.

Unit cell a=5.060 b=7.277 c=8.960 alpha=100.58 beta=92.08 gamma=99.78
Element x y z (fractional)
1 Cs 0.098 0.337 0.194
2 Cs 0.902 0.663 0.806
3 Li 0.225 0.917 0.402
4 Li 0.775 0.083 0.598
5 Te 0.316 0.260 0.615
6 Te 0.478 0.878 0.129
7 Te 0.522 0.122 0.871
8 Te 0.684 0.740 0.385

Calculated values
Total magnetic moment = 0.000 μB/atom
Calculated volume = 39.9 Å³ per atom
ΔE_f (raw) = -0.819 eV/atom
Raw total energy = -0.2265 Ry/atom
Polymorph energy (0 for the lowest one) = 6 meV per atom
SG = P-1

Entry 5:
This record from Alexandria describes CeZn2Co2 after structural relaxation. The functional is PBE.

Unit cell a=8.127 b=7.471 c=5.086 alpha=78.12 beta=64.11 gamma=37.77
Element x y z (fractional)
1 Ce 0.125 0.125 0.125
2 Ce 0.875 0.875 0.875
3 Zn 0.272 0.272 0.478
4 Zn 0.478 0.478 0.272
5 Zn 0.522 0.522 0.728
6 Zn 0.728 0.728 0.522
7 Co 0.134 0.616 0.134
8 Co 0.384 0.866 0.384
9 Co 0.616 0.134 0.616
10 Co 0.866 0.384 0.866

Calculated values
Total magnetic moment = 0.000 μB/atom
ΔE_f = -0.141 eV per atom
Calculated volume = 16.5 Å³ per atom
Raw total energy = -0.3440 Ry/atom
Polymorph energy (0 for the lowest one) = 4 meV per atom
SG = Fddd

Entry 6:
This record from Alexandria describes Rb2TeSe8 after structural relaxation. The functional is PBE.

Unit cell a=5.208 b=7.172 c=11.303 alpha=105.86 beta=93.09 gamma=109.48
Element x y z (fractional)
1 Rb 0.140 0.140 0.252
2 Rb 0.860 0.860 0.748
3 Te 0.500 0.000 0.000
4 Se 0.149 0.409 0.588
5 Se 0.217 0.648 0.257
6 Se 0.371 0.170 0.592
7 Se 0.432 0.328 0.926
8 Se 0.568 0.672 0.074
9 Se 0.629 0.830 0.408
10 Se 0.783 0.352 0.743
11 Se 0.851 0.591 0.412

Calculated values
Total magnetic moment = 0.000 μB/atom
Calculated volume = 34.4 Å³ per atom
ΔE_f (raw) = -0.340 eV/atom
Raw total energy = -0.2452 Ry/atom
SG = P-1

Entry 7:
This record from Alexandria describes TcPHOs after structural relaxation. The functional is PBE.

Unit cell a=3.761 b=4.384 c=4.384 alpha=39.18 beta=90.00 gamma=90.00
Element x y z (fractional)
1 Tc 0.000 0.000 0.000
2 P 0.000 0.720 0.720
3 H 0.500 0.069 0.069
4 Os 0.500 0.287 0.287

Calculated values
Total magnetic moment = 0.000 μB/atom
Calculated volume = 11.4 Å³ per atom
Raw total energy = -0.5580 Ry/atom
Polymorph energy (0 for the lowest one) = 59 meV per atom
SG = Amm2

Entry 8:
This record from Alexandria describes Ho2Pu3NpN6 after structural relaxation. The functional is PBE.

Unit cell a=6.002 b=6.002 c=6.004 alpha=99.62 beta=99.62 gamma=119.96
Element x y z (fractional)
1 Ho 0.166 0.834 0.000
2 Ho 0.834 0.166 0.000
3 Pu 0.000 0.000 0.500
4 Pu 0.332 0.668 0.500
5 Pu 0.668 0.332 0.500
6 Np 0.500 0.500 0.000
7 N 0.095 0.418 0.755
8 N 0.259 0.259 0.247
9 N 0.418 0.095 0.755
10 N 0.582 0.905 0.245
11 N 0.741 0.741 0.753
12 N 0.905 0.582 0.245

Calculated values
Total magnetic moment = 1.473 μB/atom
Calculated volume = 14.7 Å³ per atom
ΔE_f (raw) = -1.393 eV/atom
Raw total energy = -0.8070 Ry/atom
SG = C2/m